Record 1
The following is a PBE-GGA calculation of Rb3SmTh2Te6 after structural relaxation, from Alexandria. Values from VASP.

Structure (Quantum ESPRESSO input):
```
&SYSTEM
  ibrav = 0, nat = 12, ntyp = 4
/
ATOMIC_SPECIES
Rb 85.47 Rb.upf
Th 232.04 Th.upf
Te 127.60 Te.upf
Sm 150.36 Sm.upf
CELL_PARAMETERS angstrom
7.849 -0.001 0.000
-3.924 6.798 0.000
-1.309 -2.266 8.728
ATOMIC_POSITIONS angstrom
Rb 1.309 2.266 4.364
Rb -2.619 4.534 4.364
Rb 5.236 -0.003 4.364
Th 3.925 2.266 0.000
Th 0.001 4.532 0.000
Te -1.311 2.272 1.820
Te -0.006 4.532 6.909
Te 3.928 2.260 6.909
Te 0.003 0.005 6.908
Te 2.623 0.000 1.820
Te 2.614 4.526 1.821
Sm 0.000 0.000 0.000
```

Summary:
formation energy from raw total energies	-1.240	eV per atom
symmetry	C2/m (12)
calculated density	5.83	g/cm3

---

Record 2
The following is a PBE-GGA calculation of Rb2SmThTe4 after structural relaxation, from Alexandria. Values from VASP.

Structure (Quantum ESPRESSO input):
```
&SYSTEM
  ibrav = 0, nat = 8, ntyp = 4
/
ATOMIC_SPECIES
Sm 150.36 Sm.upf
Te 127.60 Te.upf
Rb 85.47 Rb.upf
Th 232.04 Th.upf
CELL_PARAMETERS angstrom
-2.342 -3.045 2.437
5.531 -5.430 -1.469
2.448 4.227 7.633
ATOMIC_POSITIONS angstrom
Sm 1.594 -4.237 0.484
Te 4.994 -2.324 6.141
Te 0.643 -1.924 2.459
Te 3.402 1.924 5.671
Te 4.577 -3.127 0.492
Rb 3.989 -0.601 3.082
Rb 0.053 0.591 5.035
Th 0.000 0.000 0.000
```

Summary:
formation energy from raw total energies	-1.280	eV per atom
symmetry	P2/m (10)
calculated density	5.67	g/cm3

---

Record 3
The following is a PBE-GGA calculation of Rb3SmTh3Te8 after structural relaxation, from Alexandria. Values from VASP.

Structure (Quantum ESPRESSO input):
```
&SYSTEM
  ibrav = 0, nat = 15, ntyp = 4
/
ATOMIC_SPECIES
Te 127.60 Te.upf
Rb 85.47 Rb.upf
Th 232.04 Th.upf
Sm 150.36 Sm.upf
CELL_PARAMETERS angstrom
-6.326 -4.590 4.438
7.483 -4.155 -2.731
1.048 6.320 8.030
ATOMIC_POSITIONS angstrom
Te -0.373 -0.861 7.678
Te -0.576 -3.833 4.316
Te 2.579 -1.563 2.059
Te 3.356 -2.932 6.270
Te 2.782 1.409 5.422
Te -1.150 0.508 3.468
Te 6.497 -0.653 4.066
Te -4.291 -1.771 5.671
Rb 0.579 -4.372 0.854
Rb 3.742 -2.078 -1.365
Rb 0.000 0.000 0.000
Th 1.103 -1.212 4.869
Th 4.266 1.083 2.650
Th -2.639 0.865 6.234
Sm 0.524 3.160 4.015
```

Summary:
formation energy from raw total energies	-1.241	eV per atom
symmetry	R-3m (166)
calculated density	5.69	g/cm3

---

Record 4
The following is a PBE-GGA calculation of Rb4Sm3ThTe8 after structural relaxation, from Alexandria. Values from VASP.

Structure (Quantum ESPRESSO input):
```
&SYSTEM
  ibrav = 0, nat = 16, ntyp = 4
/
ATOMIC_SPECIES
Rb 85.47 Rb.upf
Te 127.60 Te.upf
Sm 150.36 Sm.upf
Th 232.04 Th.upf
CELL_PARAMETERS angstrom
9.153 0.000 0.000
0.000 10.089 0.658
-4.576 -4.576 6.473
ATOMIC_POSITIONS angstrom
Rb 4.576 0.000 0.000
Rb -2.288 -2.288 3.236
Rb 0.000 0.000 0.000
Rb 2.288 -2.288 3.236
Te 0.000 4.970 3.499
Te 0.000 0.557 3.628
Te 4.576 0.543 3.632
Te -2.298 2.673 6.749
Te 4.576 4.956 3.503
Te 2.279 2.840 0.382
Te 6.874 2.840 0.382
Te 2.298 2.673 6.749
Sm 4.576 5.044 0.329
Sm 2.288 2.756 3.565
Sm -2.288 2.756 3.565
Th 0.000 5.044 0.329
```

Summary:
formation energy from raw total energies	-1.343	eV per atom
symmetry	R-3m (166)
calculated density	5.43	g/cm3

---

Record 5
The following is a PBE-GGA calculation of Rb4Sm3TiTe8 after structural relaxation, from Alexandria. Values from VASP.

Structure (Quantum ESPRESSO input):
```
&SYSTEM
  ibrav = 0, nat = 16, ntyp = 4
/
ATOMIC_SPECIES
Te 127.60 Te.upf
Rb 85.47 Rb.upf
Ti 47.87 Ti.upf
Sm 150.36 Sm.upf
CELL_PARAMETERS angstrom
-7.893 -2.826 3.323
2.974 -9.507 -1.021
5.286 5.407 4.916
ATOMIC_POSITIONS angstrom
Te -5.103 -4.965 2.406
Te -2.290 -2.088 5.022
Te 1.582 -0.680 3.180
Te 1.269 -3.465 6.581
Te 2.657 -4.839 2.196
Te 5.470 -1.961 4.812
Te -1.216 -6.246 4.038
Te -0.902 -3.461 0.638
Rb 0.000 0.000 0.000
Rb -1.304 1.290 4.120
Rb -3.947 -1.413 1.662
Rb 2.643 2.703 2.458
Ti 1.487 -4.753 -0.510
Sm 0.183 -3.463 3.609
Sm -2.460 -6.166 1.151
Sm 4.130 -2.050 1.948
```

Summary:
formation energy from raw total energies	-1.223	eV per atom
symmetry	R-3m (166)
calculated density	5.13	g/cm3

---

Record 6
The following is a PBE-GGA calculation of Rb4Sm3TmTe8 after structural relaxation, from Alexandria. Values from VASP.

Structure (Quantum ESPRESSO input):
```
&SYSTEM
  ibrav = 0, nat = 16, ntyp = 4
/
ATOMIC_SPECIES
Te 127.60 Te.upf
Rb 85.47 Rb.upf
Sm 150.36 Sm.upf
Tm 168.93 Tm.upf
CELL_PARAMETERS angstrom
-4.577 5.829 5.362
0.287 -6.686 7.512
8.004 2.483 -3.670
ATOMIC_POSITIONS angstrom
Te -0.867 -0.416 3.534
Te 0.881 3.825 4.397
Te 0.596 0.741 7.505
Te 4.580 2.041 5.672
Te 3.117 0.884 1.700
Te 2.832 -2.199 4.808
Te 6.915 -0.933 2.936
Te -3.202 2.558 6.269
Rb 1.713 4.156 0.846
Rb 0.000 0.000 0.000
Rb 4.002 1.241 -1.835
Rb -2.288 2.914 2.681
Sm -2.145 -0.429 6.437
Sm 4.145 -2.102 1.921
Sm 1.857 0.813 4.603
Tm 0.143 -3.343 3.756
```

Summary:
formation energy from raw total energies	-1.389	eV per atom
symmetry	R-3m (166)
calculated density	5.31	g/cm3